A plane-wave DFT calculation with PBE with a Hubbard U was carried out for a relaxed structure of Rb2BWF6.

Calculated volume, A^3/atom: 17.25
Calculated total energy, eV/atom: -4.724
SG: I4/mmm (139)
Total magnetic moment, μB per formula unit: 3.00
DOS at the Fermi energy, states/eV/atom: 0.000

Cell lengths 6.2510, 6.2510, 6.2510 Å; angles 120.07, 120.07, 89.88 degrees
With the nearest neighbours (Å) after each atom.
Fractional positions:
Rb 0.2500 0.7500 0.5000  12 F 3.12-3.13
Rb 0.7500 0.2500 0.5000  12 F 3.12-3.13
B 0.0000 0.0000 0.0000  6 F 2.30
W 0.5000 0.5000 0.0000  6 F 2.12
F 0.2601 0.2601 0.0000  1 W 2.12, 1 B 2.30
F 0.2601 0.2601 0.5203  1 W 2.12, 1 B 2.30
F 0.2601 0.7399 0.0000  1 W 2.12, 1 B 2.30
F 0.7399 0.2601 0.0000  1 W 2.12, 1 B 2.30
F 0.7399 0.7399 0.0000  1 W 2.12, 1 B 2.30
F 0.7399 0.7399 0.4797  1 W 2.12, 1 B 2.30